(1)
5
Lattice="5.1429 0.0000 0.0000 0.0000 5.1429 0.0000 0.0000 0.0000 4.1772" Properties=species:S:1:pos:R:3 comment="Zr2OsBrF | the Alexandria database | PBE | optimized geometry" sg=P4/mmm raw_formation_energy_ev_per_atom=0.02 vol_a3_per_atom=22.10 total_magnetization_mub_per_cell=0.0 energy_ev_per_atom=-6.3547 pbc="T T T"
Zr 0.0000 2.5715 0.0000
Zr 2.5715 0.0000 0.0000
Os 0.0000 0.0000 0.0000
Br 2.5715 2.5715 2.0886
F 0.0000 0.0000 2.0886

---

(2)
5
Lattice="5.0837 0.0000 0.0000 0.0000 5.0837 0.0000 0.0000 0.0000 6.2366" Properties=species:S:1:pos:R:3 comment="BaCuRe2Pb | the Alexandria database | PBE | optimized geometry" sg=P4/mmm ef_mev_per_atom=2416 vol_a3_per_atom=32.24 total_magnetization_mub_per_cell=0.0 energy_ev_per_atom=-4.5082 pbc="T T T"
Ba 0.0000 0.0000 0.0000
Cu 2.5419 2.5419 0.0000
Re 0.0000 2.5419 3.1183
Re 2.5419 0.0000 3.1183
Pb 0.0000 0.0000 3.1183

---

(3)
12
Lattice="6.3987 0.0000 0.0000 0.0000 6.3987 0.0000 0.0000 0.0000 6.3987" Properties=species:S:1:pos:R:3 comment="ZrHgRu | the Alexandria database | PBE | optimized geometry" sg=F-43m polymorph_energy_mev_per_atom=325 ef_mev_per_atom=100 vol_a3_per_atom=21.83 total_magnetization_mub_per_cell=0.0 energy_ev_per_atom=-5.9421 pbc="T T T"
Zr 0.0000 0.0000 0.0000
Zr 0.0000 3.1993 3.1993
Zr 3.1993 0.0000 3.1993
Zr 3.1993 3.1993 0.0000
Hg 0.0000 0.0000 3.1993
Hg 0.0000 3.1993 0.0000
Hg 3.1993 0.0000 0.0000
Hg 3.1993 3.1993 3.1993
Ru 1.5997 1.5997 4.7990
Ru 1.5997 4.7990 1.5997
Ru 4.7990 1.5997 1.5997
Ru 4.7990 4.7990 4.7990

---

(4)
4
Lattice="4.2723 0.0000 0.0000 0.0000 4.2723 0.0000 0.0000 0.0000 5.2887" Properties=species:S:1:pos:R:3 comment="La2ZrRe | the Alexandria database | PBE | optimized geometry" sg=P4/mmm polymorph_energy_mev_per_atom=352 ef_mev_per_atom=459 vol_a3_per_atom=24.13 total_magnetization_mub_per_cell=0.0 energy_ev_per_atom=-7.2543 pbc="T T T"
La 0.0000 2.1362 0.0000
La 2.1362 0.0000 0.0000
Zr 0.0000 0.0000 2.6444
Re 2.1362 2.1362 2.6444

---

(5)
12
Lattice="5.0323 0.0000 0.0000 0.0000 5.3080 0.0000 0.0000 0.0000 12.3129" Properties=species:S:1:pos:R:3 comment="NdSmIn4 | the Alexandria database | PBE | optimized geometry" sg=Cmmm polymorph_energy_mev_per_atom=99 ef_mev_per_atom=-316 vol_a3_per_atom=27.41 total_magnetization_mub_per_cell=0.0 energy_ev_per_atom=-3.7227 pbc="T T T"
Nd 0.0000 0.0000 0.0000
Nd 2.5162 2.6540 0.0000
Sm 0.0000 2.6540 6.1564
Sm 2.5162 0.0000 6.1564
In 0.0000 0.0000 4.0053
In 0.0000 0.0000 8.3075
In 0.0000 2.6540 2.2012
In 0.0000 2.6540 10.1117
In 2.5162 0.0000 2.2012
In 2.5162 0.0000 10.1117
In 2.5162 2.6540 4.0053
In 2.5162 2.6540 8.3075

---

(6)
16
Lattice="3.8845 2.2427 7.1356 -3.8845 2.2427 7.1356 0.0000 -4.4855 7.1356" Properties=species:S:1:pos:R:3 comment="Na4HoHf3Se8 | the Alexandria database | PBE | optimized geometry" sg=R-3m raw_formation_energy_ev_per_atom=-1.34 vol_a3_per_atom=23.31 total_magnetization_mub_per_cell=0.0 energy_ev_per_atom=-5.5678 pbc="T T T"
Na 0.0000 0.0000 0.0000
Na -1.9423 -1.1214 7.1356
Na -1.9423 1.1214 14.2711
Na 0.0000 2.2427 7.1356
Ho 0.0000 0.0000 10.7033
Hf -3.8845 0.0000 10.7033
Hf -1.9423 1.1214 3.5678
Hf 1.9423 1.1214 3.5678
Se -2.0064 -1.1584 12.3171
Se 0.0000 0.0000 5.1462
Se 0.0000 -2.3167 9.0896
Se -2.0064 1.1584 9.0896
Se 2.0064 -1.1584 12.3170
Se 0.0000 2.3167 12.3170
Se 0.0000 0.0000 16.2605
Se 2.0064 1.1584 9.0896

---

(7)
16
Lattice="7.6442 0.0000 0.0000 0.0000 7.6442 0.0000 0.0000 0.0000 7.6442" Properties=species:S:1:pos:R:3 comment="SrLiPrAu | the Alexandria database | PBE | optimized geometry" sg=F-43m ef_mev_per_atom=-316 vol_a3_per_atom=27.92 total_magnetization_mub_per_cell=0.0 energy_ev_per_atom=-3.2296 pbc="T T T"
Sr 0.0000 0.0000 0.0000
Sr 0.0000 3.8221 3.8221
Sr 3.8221 0.0000 3.8221
Sr 3.8221 3.8221 0.0000
Li 1.9110 1.9110 1.9110
Li 1.9110 5.7331 5.7331
Li 5.7331 1.9110 5.7331
Li 5.7331 5.7331 1.9110
Pr 0.0000 0.0000 3.8221
Pr 0.0000 3.8221 0.0000
Pr 3.8221 0.0000 0.0000
Pr 3.8221 3.8221 3.8221
Au 1.9110 1.9110 5.7331
Au 1.9110 5.7331 1.9110
Au 5.7331 1.9110 1.9110
Au 5.7331 5.7331 5.7331

---

(8)
12
Lattice="4.1513 0.0000 0.0000 -2.0756 3.5951 0.0000 0.0000 0.0000 23.7104" Properties=species:S:1:pos:R:3 comment="Pr2RhBr | the Alexandria database | PBE | optimized geometry" sg=R-3m polymorph_energy_mev_per_atom=0 raw_formation_energy_ev_per_atom=-1.07 vol_a3_per_atom=29.49 total_magnetization_mub_per_cell=0.0 energy_ev_per_atom=-5.7138 pbc="T T T"
Pr 0.0000 0.0000 5.5033
Pr 0.0000 0.0000 18.2070
Pr 0.0000 2.3968 10.3036
Pr 0.0000 2.3968 21.3103
Pr 2.0756 1.1984 2.4001
Pr 2.0756 1.1984 13.4068
Rh 0.0000 0.0000 11.8552
Rh 0.0000 2.3968 3.9517
Rh 2.0756 1.1984 19.7587
Br 0.0000 0.0000 0.0000
Br 0.0000 2.3968 15.8069
Br 2.0756 1.1984 7.9035